A geometry-optimized Al2SiTe structure. Source: the Alexandria database, functional PBE.

Results
Total moment   0.000 μB/cell
Energy above the lowest structure with this stoichiometry   440.0 meV per atom
Space group   Cmmm (65)

Geometry as extended XYZ:
```
4
Lattice="-0.0063 -2.5961 1.5402 1.0451 -0.9272 -2.6758 8.5357 1.6234 2.7713" Properties=species:S:1:pos:R:3 pbc="T T T"
Si 2.6533 -1.3558 0.1250
Te 6.9212 -0.5441 1.5107
Al 0.4046 0.0769 0.1314
Al 3.8633 0.7348 1.2543
```